[1]
This record from the Alexandria database describes an optimized crystal structure of ScHgSb2S. The functional is PBE.

Cell: 5.4588 5.4588 5.5320 Å, 90.00 90.00 90.00°
Closest atoms and distances in Å follow each position.
Fractional coordinates of all 5 atoms:
S 0.5000 0.5000 0.5000  4 Hg 3.86, 8 Sb 3.89
Sb 0.0000 0.5000 0.0000  2 Sc 2.73
Sb 0.5000 0.0000 0.0000  2 Sc 2.73
Hg 0.0000 0.0000 0.5000  2 Sc 2.77
Sc 0.0000 0.0000 0.0000  4 Sb 2.73, 2 Hg 2.77

Summary:
Raw total energy = -3.294 eV/atom
Uncorrected formation energy = 507 meV per atom
Crystal system = tetragonal
Calculated density = 5.25 Mg/m³



[2]
This record from the Alexandria database describes an optimized crystal structure of ScHg2SbS. The functional is PBE.

Cell: 5.4944 5.5286 5.4944 Å, 90.00 90.00 90.00°
Closest atoms and distances in Å follow each position.
Fractional coordinates of all 5 atoms:
Sb 0.0000 0.5000 0.0000  2 Sc 2.76
Hg 0.5000 0.0000 0.0000  2 Sc 2.75
Hg 0.0000 0.0000 0.5000  2 Sc 2.75
Sc 0.0000 0.0000 0.0000  4 Hg 2.75, 2 Sb 2.76
S 0.5000 0.5000 0.5000  4 Sb 3.89, 8 Hg 3.90

Summary:
Raw total energy = -2.530 eV/atom
Uncorrected formation energy = 507 meV per atom
Crystal system = tetragonal
Calculated density = 5.97 Mg/m³



[3]
This record from the Alexandria database describes an optimized crystal structure of Sn2HgSbS. The functional is PBE.

Cell: 5.6338 5.4021 5.6338 Å, 90.00 90.00 90.00°
Closest atoms and distances in Å follow each position.
Fractional coordinates of all 5 atoms:
Sn 0.5000 0.0000 0.0000  2 Hg 2.82
Sn 0.0000 0.0000 0.5000  2 Hg 2.82
S 0.5000 0.5000 0.5000  8 Sn 3.90, 4 Sb 3.98
Hg 0.0000 0.0000 0.0000  2 Sb 2.70, 4 Sn 2.82
Sb 0.0000 0.5000 0.0000  2 Hg 2.70

Summary:
Raw total energy = -2.524 eV/atom
Uncorrected formation energy = 788 meV per atom
Crystal system = tetragonal
Calculated density = 5.73 Mg/m³